SrTl2Zn2: single point on PBEsol structure, meta-GGA SCAN.

Lattice parameters (Å, degrees): 4.5230 4.5230 6.7595 109.55 109.55 90.00
Sites, in units of the cell vectors:
Tl 0.6229 0.6229 0.2457
Tl 0.3771 0.3771 0.7543
Zn 0.7500 0.2500 0.5000
Zn 0.2500 0.7500 0.5000
Sr 0.0000 0.0000 0.0000

Energy relative to the elements in meV per atom: -258.1
Relative energy among the computed polymorphs in eV/atom: 0.0215
Calculated volume in Å³ per cell: 121.82
Space group: I4/mmm, No. 139